Here is a geometry-optimized YThCuHg structure from the Alexandria database. Energies are from GGA-PBE.

POSCAR file:
```
YThCuHg
1.0
5.212 0.000 0.000
2.606 4.513 0.000
2.606 1.504 4.255
Y Cu Hg Th
1 1 1 1
Cartesian
7.817 4.513 3.191
5.212 3.009 2.128
0.000 0.000 0.000
2.606 1.504 1.064
```

Output
The value obtained for the energy of formation is -4.1 kcal/mol of atoms. As for the space group: F-43m, No. 216. For the volume, the calculation gives 25.02 Å³ per atom. As for the total magnetization: 0.70 μB per formula unit. The raw total energy is -0.175 Ha/atom.